[1]
# PBE BC2, optimized geometry
# Total energy   -8.01 eV per atom
# E above lowest polymorph   37 kJ/mol of formula units
# Crystal system   monoclinic
data_BC2
_symmetry_space_group_name_H-M 'P 1 21/m 1'
_symmetry_Int_Tables_number 11
_symmetry_space_group_name_Hall '-P 2yb'
_cell_length_a 4.5063
_cell_length_b 2.6561
_cell_length_c 6.6484
_cell_angle_alpha 90.00
_cell_angle_beta 92.78
_cell_angle_gamma 90.00
loop_
_atom_site_label
_atom_site_type_symbol
_atom_site_fract_x
_atom_site_fract_y
_atom_site_fract_z
B1 B 0.1543 0.2500 0.2712
B2 B 0.3115 0.7500 0.6143
C1 C 0.0847 0.2500 0.0370
C2 C 0.2600 0.7500 0.3778
C3 C 0.3972 0.2500 0.7280
C4 C 0.4164 0.2500 0.9580



[2]
# PBE TaCu4Pd, optimized geometry
# Total energy   -5.66 eV per atom
# Crystal system   cubic
data_TaCu4Pd
_symmetry_space_group_name_H-M 'F -4 3 m'
_symmetry_Int_Tables_number 216
_symmetry_space_group_name_Hall 'F -4 2 3'
_cell_length_a 6.8204
_cell_length_b 6.8204
_cell_length_c 6.8204
_cell_angle_alpha 90.00
_cell_angle_beta 90.00
_cell_angle_gamma 90.00
loop_
_atom_site_label
_atom_site_type_symbol
_atom_site_fract_x
_atom_site_fract_y
_atom_site_fract_z
Ta1 Ta 0.0000 0.0000 0.0000
Cu1 Cu 0.1249 0.1249 0.3751
Pd1 Pd 0.2500 0.2500 0.7500



[3]
# PBE TbThPdRu, optimized geometry
# Total energy   -7.21 eV per atom
# E above lowest polymorph   42 kJ/mol of formula units
# Crystal system   cubic
data_TbThPdRu
_symmetry_space_group_name_H-M 'F -4 3 m'
_symmetry_Int_Tables_number 216
_symmetry_space_group_name_Hall 'F -4 2 3'
_cell_length_a 7.0712
_cell_length_b 7.0712
_cell_length_c 7.0712
_cell_angle_alpha 90.00
_cell_angle_beta 90.00
_cell_angle_gamma 90.00
loop_
_atom_site_label
_atom_site_type_symbol
_atom_site_fract_x
_atom_site_fract_y
_atom_site_fract_z
Tb1 Tb 0.0000 0.0000 0.0000
Th1 Th 0.0000 0.0000 0.5000
Pd1 Pd 0.2500 0.2500 0.7500
Ru1 Ru 0.2500 0.2500 0.2500



[4]
# PBE Ac2SmHg8, optimized geometry
# Total energy   -1.75 eV per atom
# Crystal system   orthorhombic
data_Ac2SmHg8
_symmetry_space_group_name_H-M 'I m m m'
_symmetry_Int_Tables_number 71
_symmetry_space_group_name_Hall '-I 2 2'
_cell_length_a 5.4068
_cell_length_b 7.7977
_cell_length_c 14.8610
_cell_angle_alpha 90.00
_cell_angle_beta 90.00
_cell_angle_gamma 90.00
loop_
_atom_site_label
_atom_site_type_symbol
_atom_site_fract_x
_atom_site_fract_y
_atom_site_fract_z
Ac1 Ac 0.0000 0.0000 0.2037
Sm1 Sm 0.0000 0.0000 0.5000
Hg1 Hg 0.0000 0.2157 0.0000
Hg2 Hg 0.0000 0.3009 0.3679
Hg3 Hg 0.0000 0.5000 0.1494



no.,total magnetic moment (Bohr magnetons per cell)
1,0.00
2,0.00
3,0.00
4,0.00